Entry from Alexandria via LeMat-Bulk: Ag5Br4Cl after structural relaxation (PBE).

Output
Total energy: -25.88 eV per formula unit
Distance to the lowest polymorph of the same formula: 15 meV per atom

abc: 6.819 7.266 7.266
angles: 77.28 62.01 62.01
Fractional coordinates of all 10 atoms:
Ag 0.283 0.660 0.996
Br 0.353 0.771 0.380
Cl 0.875 0.000 0.000
Ag 0.939 0.340 0.004
Ag 0.943 0.996 0.340
Ag 0.456 0.000 0.000
Ag 0.279 0.004 0.660
Br 0.504 0.229 0.620
Br 0.124 0.380 0.229
Br 0.733 0.620 0.771